# NbFe3Mo | Alexandria | SCAN | single point on PBEsol structure
data_NbFe3Mo
_space_group_name_H-M_alt 'P m -3 m'
_space_group_IT_number 221
_space_group_name_Hall '-P 4 2 3'
_cell_length_a 4.2745
_cell_length_b 4.2745
_cell_length_c 4.2745
_cell_angle_alpha 90.00
_cell_angle_beta 90.00
_cell_angle_gamma 90.00
loop_
_atom_site_label
_atom_site_fract_x
_atom_site_fract_y
_atom_site_fract_z
Nb1 0.0000 0.0000 0.0000
Fe1 0.0000 0.5000 0.5000
Mo1 0.5000 0.5000 0.5000
# Formation enthalpy at 0 K: 1.447 eV per atom